P:
Material: SrZrPS2
Method: DFT, PBE
State: relaxed

The structure in POSCAR format:
```
SrZrPS2
1.0
5.232 0.000 0.000
0.000 5.232 0.000
0.000 0.000 5.189
Sr Zr P S
1 1 1 2
Direct
0.000 0.000 0.000
0.500 0.500 0.500
0.000 0.000 0.500
0.000 0.500 0.000
0.500 0.000 0.000
```

Calculated values
Symmetry   P4/mmm
Size of the total moment   0.4 Bohr magnetons per cell

Q:
Material: SrZrPS2
Method: DFT, PBE
State: relaxed

The structure in POSCAR format:
```
SrZrPS2
1.0
5.018 0.000 0.000
0.000 5.018 0.000
0.000 0.000 5.082
Sr Zr P S
1 1 1 2
Direct
0.000 0.000 0.000
0.500 0.500 0.500
0.500 0.500 0.000
0.000 0.500 0.500
0.500 0.000 0.500
```

Calculated values
Symmetry   P4/mmm
Size of the total moment   0.0 Bohr magnetons per cell

The relative energies come out as P 1.772; Q 0.000, with values in eV/atom.

P:
Material: Ta2PS
Method: DFT, PBE
State: relaxed

The structure in POSCAR format:
```
Ta2PS
1.0
6.206 0.000 0.000
0.000 6.206 0.000
0.000 0.000 6.206
Ta P S
8 4 4
Direct
0.250 0.250 0.250
0.250 0.250 0.750
0.250 0.750 0.250
0.250 0.750 0.750
0.750 0.250 0.250
0.750 0.250 0.750
0.750 0.750 0.250
0.750 0.750 0.750
0.000 0.000 0.000
0.000 0.500 0.500
0.500 0.000 0.500
0.500 0.500 0.000
0.000 0.000 0.500
0.000 0.500 0.000
0.500 0.000 0.000
0.500 0.500 0.500
```

Calculated values
Symmetry   Fm-3m
Size of the total moment   0.0 Bohr magnetons per cell

Q:
Material: Ta2PS
Method: DFT, PBE
State: relaxed

The structure in POSCAR format:
```
Ta2PS
1.0
5.673 0.000 0.000
0.000 5.673 0.000
0.000 0.000 10.462
Ta P S
8 4 4
Direct
0.246 0.250 0.125
0.250 0.746 0.375
0.250 0.754 0.875
0.254 0.250 0.625
0.746 0.750 0.625
0.750 0.246 0.875
0.750 0.254 0.375
0.754 0.750 0.125
0.000 0.000 0.500
0.000 0.500 0.750
0.500 0.000 0.250
0.500 0.500 0.000
0.000 0.000 0.000
0.000 0.500 0.250
0.500 0.000 0.750
0.500 0.500 0.500
```

Calculated values
Symmetry   I-42d
Size of the total moment   0.0 Bohr magnetons per cell

The relative energies come out as P 0.000; Q 0.519, with values in eV/atom.

P:
Material: Ta2PS2
Method: DFT, PBE
State: relaxed

The structure in POSCAR format:
```
Ta2PS2
1.0
4.468 0.000 0.000
0.000 4.468 0.000
0.000 0.000 8.560
Ta P S
4 2 4
Direct
0.000 0.500 0.250
0.000 0.500 0.750
0.500 0.000 0.250
0.500 0.000 0.750
0.000 0.000 0.000
0.500 0.500 0.500
0.000 0.000 0.359
0.000 0.000 0.641
0.500 0.500 0.141
0.500 0.500 0.859
```

Calculated values
Symmetry   I4/mmm
Size of the total moment   0.0 Bohr magnetons per cell

Q:
Material: Ta2PS2
Method: DFT, PBE
State: relaxed

The structure in POSCAR format:
```
Ta2PS2
1.0
7.162 0.000 0.000
0.000 7.162 0.000
0.000 0.000 2.999
Ta P S
4 2 4
Direct
0.170 0.330 0.000
0.330 0.830 0.000
0.670 0.170 0.000
0.830 0.670 0.000
0.000 0.000 0.500
0.500 0.500 0.500
0.130 0.630 0.500
0.370 0.130 0.500
0.630 0.870 0.500
0.870 0.370 0.500
```

Calculated values
Symmetry   P4/mbm
Size of the total moment   0.0 Bohr magnetons per cell

The relative energies come out as P 0.000; Q 0.077, with values in eV/atom.

P:
Material: TaTcPS2
Method: DFT, PBE
State: relaxed

The structure in POSCAR format:
```
TaTcPS2
1.0
4.707 0.000 0.000
0.000 4.707 0.000
0.000 0.000 4.977
Ta Tc P S
1 1 1 2
Direct
0.000 0.000 0.000
0.500 0.500 0.500
0.000 0.000 0.500
0.000 0.500 0.000
0.500 0.000 0.000
```

Calculated values
Symmetry   P4/mmm
Size of the total moment   4.6 Bohr magnetons per cell

Q:
Material: TaTcPS2
Method: DFT, PBE
State: relaxed

The structure in POSCAR format:
```
TaTcPS2
1.0
4.545 0.000 0.000
0.000 4.545 0.000
0.000 0.000 4.634
Ta Tc P S
1 1 1 2
Direct
0.000 0.000 0.000
0.500 0.500 0.500
0.500 0.500 0.000
0.000 0.500 0.500
0.500 0.000 0.500
```

Calculated values
Symmetry   P4/mmm
Size of the total moment   2.7 Bohr magnetons per cell

The relative energies come out as P 0.000; Q 0.289, with values in eV/atom.

P:
Material: TaTiP2S
Method: DFT, PBE
State: relaxed

The structure in POSCAR format:
```
TaTiP2S
1.0
4.805 0.000 0.000
0.000 4.805 0.000
0.000 0.000 4.714
Ta Ti P S
1 1 2 1
Direct
0.000 0.000 0.000
0.500 0.500 0.500
0.000 0.500 0.000
0.500 0.000 0.000
0.000 0.000 0.500
```

Calculated values
Symmetry   P4/mmm
Size of the total moment   1.5 Bohr magnetons per cell

Q:
Material: TaTiP2S
Method: DFT, PBE
State: relaxed

The structure in POSCAR format:
```
TaTiP2S
1.0
4.638 0.000 0.000
0.000 4.638 0.000
0.000 0.000 4.439
Ta Ti P S
1 1 2 1
Direct
0.000 0.000 0.000
0.500 0.500 0.500
0.000 0.500 0.500
0.500 0.000 0.500
0.500 0.500 0.000
```

Calculated values
Symmetry   P4/mmm
Size of the total moment   0.0 Bohr magnetons per cell

The relative energies come out as P 0.000; Q 0.320, with values in eV/atom.

P:
Material: TaTlPS2
Method: DFT, PBE
State: relaxed

The structure in POSCAR format:
```
TaTlPS2
1.0
4.944 0.000 0.000
0.000 4.944 0.000
0.000 0.000 4.974
Ta Tl P S
1 1 1 2
Direct
0.000 0.000 0.000
0.500 0.500 0.500
0.500 0.500 0.000
0.000 0.500 0.500
0.500 0.000 0.500
```

Calculated values
Symmetry   P4/mmm
Size of the total moment   1.5 Bohr magnetons per cell

Q:
Material: TaTlPS2
Method: DFT, PBE
State: relaxed

The structure in POSCAR format:
```
TaTlPS2
1.0
4.837 0.000 0.000
0.000 4.837 0.000
0.000 0.000 4.963
Ta Tl P S
1 1 1 2
Direct
0.000 0.000 0.000
0.500 0.500 0.500
0.000 0.000 0.500
0.000 0.500 0.000
0.500 0.000 0.000
```

Calculated values
Symmetry   P4/mmm
Size of the total moment   0.0 Bohr magnetons per cell

The relative energies come out as P 1.860; Q 0.000, with values in eV/atom.

P:
Material: TaVP2S
Method: DFT, PBE
State: relaxed

The structure in POSCAR format:
```
TaVP2S
1.0
4.819 0.000 0.000
0.000 4.819 0.000
0.000 0.000 4.664
Ta V P S
1 1 2 1
Direct
0.000 0.000 0.000
0.500 0.500 0.500
0.000 0.500 0.000
0.500 0.000 0.000
0.000 0.000 0.500
```

Calculated values
Symmetry   P4/mmm
Size of the total moment   0.3 Bohr magnetons per cell

Q:
Material: TaVP2S
Method: DFT, PBE
State: relaxed

The structure in POSCAR format:
```
TaVP2S
1.0
4.537 0.000 0.000
0.000 4.537 0.000
0.000 0.000 4.353
Ta V P S
1 1 2 1
Direct
0.000 0.000 0.000
0.500 0.500 0.500
0.000 0.500 0.500
0.500 0.000 0.500
0.500 0.500 0.000
```

Calculated values
Symmetry   P4/mmm
Size of the total moment   1.9 Bohr magnetons per cell

The relative energies come out as P 0.039; Q 0.000, with values in eV/atom.

P:
Material: YTaP2S
Method: DFT, PBE
State: relaxed

The structure in POSCAR format:
```
YTaP2S
1.0
5.089 0.000 0.000
0.000 5.089 0.000
0.000 0.000 4.938
Y Ta P S
1 1 2 1
Direct
0.000 0.000 0.000
0.500 0.500 0.500
0.000 0.500 0.000
0.500 0.000 0.000
0.000 0.000 0.500
```

Calculated values
Symmetry   P4/mmm
Size of the total moment   0.0 Bohr magnetons per cell

Q:
Material: YTaP2S
Method: DFT, PBE
State: relaxed

The structure in POSCAR format:
```
YTaP2S
1.0
4.841 0.000 0.000
0.000 4.841 0.000
0.000 0.000 4.700
Y Ta P S
1 1 2 1
Direct
0.000 0.000 0.000
0.500 0.500 0.500
0.000 0.500 0.500
0.500 0.000 0.500
0.500 0.500 0.000
```

Calculated values
Symmetry   P4/mmm
Size of the total moment   0.0 Bohr magnetons per cell

The relative energies come out as P 1.598; Q 0.000, with values in eV/atom.

P:
Material: YTaPS2
Method: DFT, PBE
State: relaxed

The structure in POSCAR format:
```
YTaPS2
1.0
5.033 0.000 0.000
0.000 5.033 0.000
0.000 0.000 5.193
Y Ta P S
1 1 1 2
Direct
0.000 0.000 0.000
0.500 0.500 0.500
0.000 0.000 0.500
0.000 0.500 0.000
0.500 0.000 0.000
```

Calculated values
Symmetry   P4/mmm
Size of the total moment   1.5 Bohr magnetons per cell

Q:
Material: YTaPS2
Method: DFT, PBE
State: relaxed

The structure in POSCAR format:
```
YTaPS2
1.0
4.707 0.000 0.000
0.000 4.707 0.000
0.000 0.000 4.934
Y Ta P S
1 1 1 2
Direct
0.000 0.000 0.000
0.500 0.500 0.500
0.500 0.500 0.000
0.000 0.500 0.500
0.500 0.000 0.500
```

Calculated values
Symmetry   P4/mmm
Size of the total moment   0.0 Bohr magnetons per cell

The relative energies come out as P 1.410; Q 0.000, with values in eV/atom.

P:
Material: TaZnPS2
Method: DFT, PBE
State: relaxed

The structure in POSCAR format:
```
TaZnPS2
1.0
4.635 0.000 0.000
0.000 4.635 0.000
0.000 0.000 4.354
Ta Zn P S
1 1 1 2
Direct
0.000 0.000 0.000
0.500 0.500 0.000
0.500 0.500 0.500
0.000 0.500 0.500
0.500 0.000 0.500
```

Calculated values
Symmetry   P4/mmm
Size of the total moment   2.7 Bohr magnetons per cell

Q:
Material: TaZnPS2
Method: DFT, PBE
State: relaxed

The structure in POSCAR format:
```
TaZnPS2
1.0
4.732 0.000 0.000
0.000 4.732 0.000
0.000 0.000 4.996
Ta Zn P S
1 1 1 2
Direct
0.000 0.000 0.000
0.500 0.500 0.500
0.000 0.000 0.500
0.000 0.500 0.000
0.500 0.000 0.000
```

Calculated values
Symmetry   P4/mmm
Size of the total moment   0.0 Bohr magnetons per cell

R:
Material: TaZnPS2
Method: DFT, PBE
State: relaxed

The structure in POSCAR format:
```
TaZnPS2
1.0
4.505 0.000 0.000
0.000 4.505 0.000
0.000 0.000 4.512
Ta Zn P S
1 1 1 2
Direct
0.000 0.000 0.000
0.500 0.500 0.500
0.500 0.500 0.000
0.000 0.500 0.500
0.500 0.000 0.500
```

Calculated values
Symmetry   P4/mmm
Size of the total moment   0.0 Bohr magnetons per cell

The relative energies come out as P 0.860; Q 0.000; R 0.917, with values in eV/atom.

P:
Material: TaZnP2S
Method: DFT, PBE
State: relaxed

The structure in POSCAR format:
```
TaZnP2S
1.0
4.487 0.000 0.000
0.000 4.487 0.000
0.000 0.000 4.532
Ta Zn P S
1 1 2 1
Direct
0.000 0.000 0.000
0.500 0.500 0.500
0.000 0.500 0.500
0.500 0.000 0.500
0.500 0.500 0.000
```

Calculated values
Symmetry   P4/mmm
Size of the total moment   0.8 Bohr magnetons per cell

Q:
Material: TaZnP2S
Method: DFT, PBE
State: relaxed

The structure in POSCAR format:
```
TaZnP2S
1.0
4.881 0.000 0.000
0.000 4.881 0.000
0.000 0.000 4.703
Ta Zn P S
1 1 2 1
Direct
0.000 0.000 0.000
0.500 0.500 0.500
0.000 0.500 0.000
0.500 0.000 0.000
0.000 0.000 0.500
```

Calculated values
Symmetry   P4/mmm
Size of the total moment   0.0 Bohr magnetons per cell

The relative energies come out as P 0.805; Q 0.000, with values in eV/atom.

P:
Material: TcP2S2
Method: DFT, PBE
State: relaxed

The structure in POSCAR format:
```
TcP2S2
1.0
4.312 0.000 0.000
0.000 4.312 0.000
0.000 0.000 4.325
Tc P S
1 2 2
Direct
0.000 0.000 0.000
0.500 0.500 0.000
0.500 0.500 0.500
0.000 0.500 0.500
0.500 0.000 0.500
```

Calculated values
Symmetry   P4/mmm
Size of the total moment   0.0 Bohr magnetons per cell

Q:
Material: TcP2S2
Method: DFT, PBE
State: relaxed

The structure in POSCAR format:
```
TcP2S2
1.0
4.705 0.000 0.000
0.000 4.705 0.000
0.000 0.000 4.373
Tc P S
1 2 2
Direct
0.000 0.000 0.000
0.000 0.500 0.000
0.500 0.000 0.000
0.000 0.000 0.500
0.500 0.500 0.500
```

Calculated values
Symmetry   P4/mmm
Size of the total moment   0.0 Bohr magnetons per cell

R:
Material: TcP2S2
Method: DFT, PBE
State: relaxed

The structure in POSCAR format:
```
TcP2S2
1.0
4.321 0.000 0.000
0.000 4.321 0.000
0.000 0.000 4.295
Tc P S
1 2 2
Direct
0.000 0.000 0.000
0.000 0.500 0.500
0.500 0.000 0.500
0.500 0.500 0.000
0.500 0.500 0.500
```

Calculated values
Symmetry   P4/mmm
Size of the total moment   0.2 Bohr magnetons per cell

The relative energies come out as P 0.377; Q 0.000; R 0.559, with values in eV/atom.